Version A
PBE Zn4Rh3, relaxed; symmetry = R-3, No. 148
1.0
5.6736 3.2757 1.7407
-5.6736 3.2757 1.7407
0.0000 -6.5513 1.7407
Zn Rh
8 6
Direct
0.0000 0.0000 0.0000
0.0718 0.7745 0.6276
0.2255 0.3724 0.9282
0.3724 0.9282 0.2255
0.5000 0.5000 0.5000
0.6276 0.0718 0.7745
0.7745 0.6276 0.0718
0.9282 0.2255 0.3724
0.1361 0.5508 0.2716
0.2716 0.1361 0.5508
0.4492 0.7284 0.8639
0.5508 0.2716 0.1361
0.7284 0.8639 0.4492
0.8639 0.4492 0.7284

---

Version B
PBE Zn4Rh3, relaxed; symmetry = I4/mmm, No. 139
1.0
-1.5298 1.5298 10.5054
1.5298 -1.5298 10.5054
1.5298 1.5298 -10.5054
Zn Rh
4 3
Direct
0.0693 0.0693 0.0000
0.3576 0.3576 0.0000
0.6424 0.6424 0.0000
0.9307 0.9307 0.0000
0.2092 0.2092 0.0000
0.5000 0.5000 0.0000
0.7908 0.7908 0.0000

---

Question: which arrangement is favored energetically? Ranking from most to least stable: version A, version B.

---

Version A
PBE ZrRh4, relaxed; symmetry = I4/m, No. 87
1.0
-3.1111 3.1111 1.9962
3.1111 -3.1111 1.9962
3.1111 3.1111 -1.9962
Zr Rh
1 4
Direct
0.0000 0.0000 0.0000
0.1928 0.3999 0.5927
0.3999 0.8072 0.2070
0.6001 0.1928 0.7930
0.8072 0.6001 0.4073

---

Version B
PBE ZrRh4, relaxed; symmetry = Imma, No. 74
1.0
-2.0956 2.7697 6.7179
2.0956 -2.7697 6.7179
2.0956 2.7697 -6.7179
Zr Rh
2 8
Direct
0.3560 0.1060 0.2500
0.6440 0.8940 0.7500
0.0000 0.5000 0.5000
0.1443 0.8943 0.2500
0.1842 0.6961 0.4881
0.2920 0.3039 0.9881
0.5000 0.5000 0.0000
0.7080 0.6961 0.0119
0.8158 0.3039 0.5119
0.8557 0.1057 0.7500

---

Version C
PBE ZrRh4, relaxed; symmetry = I4/mmm, No. 139
1.0
-1.8296 1.8296 6.2796
1.8296 -1.8296 6.2796
1.8296 1.8296 -6.2796
Zr Rh
1 4
Direct
0.0000 0.0000 0.0000
0.2500 0.7500 0.5000
0.4006 0.4006 0.0000
0.5994 0.5994 0.0000
0.7500 0.2500 0.5000

---

Version D
PBE ZrRh4, relaxed; symmetry = Pm-3m, No. 221
1.0
4.7298 0.0000 0.0000
0.0000 4.7298 0.0000
0.0000 0.0000 4.7298
Zr Rh
1 4
Direct
0.0000 0.0000 0.0000
0.0000 0.0000 0.5000
0.0000 0.5000 0.0000
0.5000 0.0000 0.0000
0.5000 0.5000 0.5000

---

Question: which arrangement is favored energetically? Ranking from most to least stable: version A, version B, version C, version D.